[1]
## AcIn2Ni (PBE)

Data for crystalline AcIn2Ni at its relaxed geometry.

abc: 4.678 19.193 4.565
angles: 90.00 90.00 90.00
Space group Cmmm (No. 65)
Inequivalent atoms, fractional coordinates:
1 Ac 0.000 0.140 0.000 (multiplicity 4)
2 In 0.000 0.000 0.500 (multiplicity 2)
3 In 0.000 0.295 0.500 (multiplicity 4)
4 In 0.000 0.500 0.000 (multiplicity 2)
5 Ni 0.000 0.430 0.500 (multiplicity 4)

Values from the calculation:
The value obtained for the total moment is 0.000 μB per atom. As for the energy relative to the elements: -0.393 eV/atom. The value obtained for the polymorph energy (0 for the lowest one) is 0.000 eV per formula unit. The value obtained for the final energy is -4.235 eV/atom.


[2]
## SmHo8Al2 (PBE)

Data for crystalline SmHo8Al2 at its relaxed geometry.

abc: 13.442 10.733 5.111
angles: 90.00 100.31 90.00
Space group C2/m (No. 12)
Inequivalent atoms, fractional coordinates:
1 Sm 0.000 0.000 0.000 (multiplicity 2)
2 Ho 0.083 0.500 0.288 (multiplicity 4)
3 Ho 0.102 0.263 0.777 (multiplicity 8)
4 Ho 0.233 0.000 0.114 (multiplicity 4)
5 Al 0.115 0.000 0.554 (multiplicity 4)

Values from the calculation:
The value obtained for the total moment is 0.000 μB per atom. As for the energy relative to the elements: 0.308 eV/atom. The value obtained for the final energy is -4.130 eV/atom.


[3]
## CuRuBr2 (PBE)

Data for crystalline CuRuBr2 at its relaxed geometry.

abc: 3.351 3.946 6.670
angles: 90.00 90.00 90.00
Space group Pmmm (No. 47)
Inequivalent atoms, fractional coordinates:
1 Cu 0.000 0.000 0.000 (multiplicity 1)
2 Ru 0.500 0.000 0.500 (multiplicity 1)
3 Br 0.000 0.500 0.500 (multiplicity 1)
4 Br 0.500 0.500 0.000 (multiplicity 1)

Values from the calculation:
The value obtained for the total moment is 0.575 μB per atom. The value obtained for the uncorrected formation energy is 0.65 eV per atom. The value obtained for the polymorph energy (0 for the lowest one) is 1.603 eV per formula unit. The value obtained for the final energy is -3.525 eV/atom.


[4]
## CaIn3Ga (PBE)

Data for crystalline CaIn3Ga at its relaxed geometry.

abc: 15.262 5.166 6.913
angles: 90.00 109.38 90.00
Space group C2/m (No. 12)
Inequivalent atoms, fractional coordinates:
1 Ca 0.123 0.000 0.468 (multiplicity 4)
2 In 0.077 0.000 0.911 (multiplicity 4)
3 In 0.154 0.500 0.189 (multiplicity 4)
4 In 0.221 0.500 0.790 (multiplicity 4)
5 Ga 0.020 0.500 0.703 (multiplicity 4)

Values from the calculation:
The value obtained for the total moment is 0.000 μB per atom. As for the energy relative to the elements: -0.219 eV/atom. The value obtained for the polymorph energy (0 for the lowest one) is 0.000 eV per formula unit. The value obtained for the final energy is -2.868 eV/atom.